Record 1
An optimized crystal structure of Nd2H8Rh, computed with GGA-PBE.

Values from the calculation:
Calculated density: 6.23 g/cm³
Calculated volume: 9.7 A^3/atom
Energy: -4.33 eV per atom
D(E_F): 2.76 states/eV/f.u.

a b c (Å): 13.5481 3.7964 4.3765
angles (deg): 90.00 108.80 90.00
Last column: nearest neighbours and their distance in Å.
Space group C2/m (No. 12)
Asymmetric unit:
Nd  0.1464  0.0000  0.1463 [4 per cell]  10 H 2.28-2.48
H  0.9999  0.0000  0.2941 [4 per cell]  1 H 1.80
H  0.1062  0.5000  0.8369 [4 per cell]  1 Rh 1.70
H  0.1073  0.5000  0.3807 [4 per cell]  1 Rh 1.70
H  0.2370  0.0000  0.7373 [4 per cell]  2 H 2.33, 4 Nd 2.42-2.48
Rh  0.0000  0.5000  0.5000 [2 per cell]  4 H 1.70


Record 2
An optimized crystal structure of NdH8Rh2, computed with GGA-PBE.

Values from the calculation:
Relative energy among the computed polymorphs: 0.000 eV per atom
Calculated density: 5.90 g/cm³
Calculated volume: 9.2 A^3/atom
Energy: -4.41 eV per atom
D(E_F): 3.12 states/eV/f.u.

a b c (Å): 5.5596 9.7593 3.7153
angles (deg): 90.00 90.00 90.00
Last column: nearest neighbours and their distance in Å.
Space group Cmmm (No. 65)
Asymmetric unit:
Nd  0.0000  0.0000  0.0000 [2 per cell]  2 H 2.38
H  0.0000  0.2434  0.0000 [4 per cell]  2 Rh 1.86
H  0.0000  0.5000  0.1040 [4 per cell]  1 H 0.77
H  0.2440  0.3659  0.5000 [8 per cell]  2 Rh 1.74-1.85
Rh  0.0000  0.2364  0.5000 [4 per cell]  6 H 1.74-1.86


Record 3
An optimized crystal structure of Nd4HRh2, computed with GGA-PBE.

Values from the calculation:
Calculated density: 7.70 g/cm³
Calculated volume: 24.2 A^3/atom
Energy: -5.74 eV per atom
D(E_F): 5.69 states/eV/f.u.

a b c (Å): 4.8124 4.8124 14.6011
angles (deg): 90.00 90.00 90.00
Last column: nearest neighbours and their distance in Å.
Space group I4/mmm (No. 139)
Asymmetric unit:
Nd  0.0000  0.0000  0.1916 [4 per cell]  1 Rh 2.68, 1 H 2.80
Nd  0.0000  0.5000  0.0000 [4 per cell]  2 H 2.41
H  0.0000  0.0000  0.0000 [2 per cell]  4 Nd 2.41
Rh  0.0000  0.0000  0.3754 [4 per cell]  1 Nd 2.68


Record 4
An optimized crystal structure of Nd2H5Rh2, computed with GGA-PBE.

Values from the calculation:
Calculated density: 8.08 g/cm³
Calculated volume: 11.4 A^3/atom
Energy: -5.12 eV per atom
D(E_F): 2.98 states/eV/f.u.

a b c (Å): 15.8255 5.2393 5.2419
angles (deg): 90.00 109.22 90.00
Last column: nearest neighbours and their distance in Å.
Space group C2/c (No. 15)
Asymmetric unit:
Nd  0.1205  0.2501  0.3705 [8 per cell]  10 H 2.56-2.70
H  0.0000  0.0000  0.0000 [4 per cell]  2 Rh 1.93
H  0.1233  0.2606  0.8732 [8 per cell]  2 Rh 1.84-1.89
H  0.2483  0.5000  0.2479 [8 per cell]  2 Rh 1.85
Rh  0.0000  0.2702  0.7500 [4 per cell]  4 H 1.84-1.93
Rh  0.2500  0.2500  0.0000 [4 per cell]  6 H 1.85-1.89


Record 5
An optimized crystal structure of NdH2Rh3, computed with GGA-PBE.

Values from the calculation:
Calculated density: 10.04 g/cm³
Calculated volume: 12.5 A^3/atom
Energy: -5.72 eV per atom
D(E_F): 5.80 states/eV/f.u.

a b c (Å): 5.4217 5.4217 2.9547
angles (deg): 90.00 90.00 120.00
Last column: nearest neighbours and their distance in Å.
Space group P6/mmm (No. 191)
Asymmetric unit:
Nd  0.0000  0.0000  0.0000 [1 per cell]  2 Nd 2.95, 12 Rh 3.09, 6 H 3.13
H  0.3333  0.6667  0.0000 [2 per cell]  6 Rh 2.15
Rh  0.0000  0.5000  0.5000 [3 per cell]  4 H 2.15


Record 6
An optimized crystal structure of NdH6Rh2, computed with GGA-PBE.

Values from the calculation:
Calculated density: 7.14 g/cm³
Calculated volume: 9.2 A^3/atom
Energy: -4.71 eV per atom
D(E_F): 4.86 states/eV/f.u.

a b c (Å): 4.7829 4.7829 4.1828
angles (deg): 90.00 90.00 120.00
Last column: nearest neighbours and their distance in Å.
Space group P-31m (No. 162)
Asymmetric unit:
Nd  0.0000  0.0000  0.0000 [1 per cell]  12 H 2.58-2.59
H  0.0000  0.4989  0.7655 [6 per cell]  2 Rh 1.77, 1 H 1.96
Rh  0.3333  0.6667  0.5000 [2 per cell]  6 H 1.77


Record 7
An optimized crystal structure of NdH8Rh2, computed with GGA-PBE.

Values from the calculation:
Relative energy among the computed polymorphs: 0.055 eV per atom
Calculated density: 6.08 g/cm³
Calculated volume: 8.9 A^3/atom
Energy: -4.36 eV per atom
D(E_F): 4.66 states/eV/f.u.

a b c (Å): 4.4135 4.4135 10.0419
angles (deg): 90.00 90.00 90.00
Last column: nearest neighbours and their distance in Å.
Space group I4/mmm (No. 139)
Asymmetric unit:
Nd  0.0000  0.0000  0.0000 [2 per cell]  8 H 2.36
H  0.2220  0.2220  0.3401 [16 per cell]  2 Rh 1.81, 3 H 1.84-1.96
Rh  0.0000  0.5000  0.2500 [4 per cell]  8 H 1.81


Record 8
An optimized crystal structure of NdH4Rh, computed with GGA-PBE.

Values from the calculation:
Calculated density: 5.92 g/cm³
Calculated volume: 11.7 A^3/atom
Energy: -4.58 eV per atom
D(E_F): 0.30 states/eV/f.u.

a b c (Å): 11.0456 3.9595 6.6470
angles (deg): 90.00 104.21 90.00
Last column: nearest neighbours and their distance in Å.
Space group C2/m (No. 12)
Asymmetric unit:
Nd  0.1846  0.0000  0.2119 [4 per cell]  6 H 2.25-2.47
H  0.0457  0.0000  0.8917 [4 per cell]  1 Rh 1.67
H  0.0508  0.0000  0.4191 [4 per cell]  1 H 1.73, 2 Rh 1.76
H  0.0999  0.5000  0.6914 [4 per cell]  2 Rh 1.98
H  0.2480  0.0000  0.6128 [4 per cell]  1 Rh 1.71
Rh  0.1119  0.0000  0.6905 [4 per cell]  4 H 1.67-1.76


Record 9
An optimized crystal structure of NdH12Rh6, computed with GGA-PBE.

Values from the calculation:
Calculated density: 8.19 g/cm³
Calculated volume: 8.3 A^3/atom
Energy: -4.84 eV per atom
D(E_F): 5.69 states/eV/f.u.

a b c (Å): 8.8034 8.8034 7.0143
angles (deg): 90.00 90.00 120.00
Last column: nearest neighbours and their distance in Å.
Space group R-3 (No. 148, hexagonal axes)
Asymmetric unit:
Nd  0.0000  0.0000  0.0000 [3 per cell]  6 H 2.41
H  0.0400  0.7607  0.8990 [18 per cell]  3 Rh 1.81-1.84
H  0.0676  0.8632  0.3859 [18 per cell]  3 Rh 1.77-1.88
Rh  0.0852  0.5805  0.3169 [18 per cell]  6 H 1.77-1.88


Record 10
An optimized crystal structure of NdH8Rh6, computed with GGA-PBE.

Values from the calculation:
Calculated density: 9.24 g/cm³
Calculated volume: 9.2 A^3/atom
Energy: -5.20 eV per atom
D(E_F): 9.47 states/eV/f.u.

a b c (Å): 8.0302 8.0302 7.4343
angles (deg): 90.00 90.00 120.00
Last column: nearest neighbours and their distance in Å.
Space group R-3 (No. 148, hexagonal axes)
Asymmetric unit:
Nd  0.0000  0.0000  0.0000 [3 per cell]  8 H 2.43-2.52
H  0.0000  0.0000  0.3264 [6 per cell]  3 Rh 1.82
H  0.0132  0.5945  0.7932 [18 per cell]  3 Rh 1.79-1.83
Rh  0.0371  0.7949  0.6591 [18 per cell]  4 H 1.79-1.83


Record 11
An optimized crystal structure of Nd2H6RuRh, computed with GGA-PBE.

Values from the calculation:
Calculated density: 7.93 g/cm³
Calculated volume: 10.4 A^3/atom
Energy: -5.14 eV per atom
D(E_F): 3.13 states/eV/f.u.

a b c (Å): 7.4642 7.4668 5.2828
angles (deg): 90.00 134.84 90.00
Last column: nearest neighbours and their distance in Å.
Space group C2/m (No. 12)
Asymmetric unit:
Nd  0.0000  0.2502  0.0000 [4 per cell]  12 H 2.64-2.65
H  0.0000  0.2459  0.5000 [4 per cell]  1 Ru 1.84, 1 Rh 1.90
H  0.2463  0.0000  0.5006 [4 per cell]  1 Ru 1.84, 1 Rh 1.90
H  0.2456  0.0000  0.9906 [4 per cell]  1 Ru 1.84, 1 Rh 1.91
Ru  0.0000  0.0000  0.5000 [2 per cell]  6 H 1.84
Rh  0.0000  0.5000  0.5000 [2 per cell]  6 H 1.90-1.91


Record 12
An optimized crystal structure of NdH6RuRh, computed with GGA-PBE.

Values from the calculation:
Calculated density: 7.15 g/cm³
Calculated volume: 9.1 A^3/atom
Energy: -4.87 eV per atom
D(E_F): 2.57 states/eV/f.u.

a b c (Å): 4.6832 4.6832 4.3315
angles (deg): 90.00 90.00 120.00
Last column: nearest neighbours and their distance in Å.
Space group P-6m2 (No. 187)
Asymmetric unit:
Nd  0.0000  0.0000  0.0000 [1 per cell]  12 H 2.54
H  0.5044  0.0088  0.2299 [6 per cell]  1 Ru 1.76, 1 Rh 1.81
Ru  0.6667  0.3333  0.5000 [1 per cell]  6 H 1.76
Rh  0.3333  0.6667  0.5000 [1 per cell]  6 H 1.81


Record 13
An optimized crystal structure of NdSbH2Rh2, computed with GGA-PBE.

Values from the calculation:
Calculated density: 8.27 g/cm³
Calculated volume: 15.9 A^3/atom
Energy: -5.54 eV per atom
D(E_F): 2.10 states/eV/f.u.

a b c (Å): 4.7798 5.7333 7.0174
angles (deg): 90.00 98.26 90.00
Last column: nearest neighbours and their distance in Å.
Space group P2_1/m (No. 11)
Asymmetric unit:
Nd  0.2469  0.2500  0.3541 [2 per cell]  3 H 2.28-2.40
Sb  0.2088  0.7500  0.1087 [2 per cell]  1 H 2.54, 4 Rh 2.69-2.76
H  0.1610  0.2500  0.6647 [2 per cell]  2 Rh 1.74
H  0.2581  0.7500  0.6569 [2 per cell]  2 Rh 1.81
Rh  0.2883  0.0118  0.8037 [4 per cell]  2 H 1.74-1.81


Record 14
An optimized crystal structure of NdSbHRh, computed with GGA-PBE.

Values from the calculation:
Calculated density: 8.68 g/cm³
Calculated volume: 17.7 A^3/atom
Energy: -5.71 eV per atom
D(E_F): 1.86 states/eV/f.u.

a b c (Å): 4.6844 4.6844 3.7219
angles (deg): 90.00 90.00 120.00
Last column: nearest neighbours and their distance in Å.
Space group P-6m2 (No. 187)
Asymmetric unit:
Nd  0.0000  0.0000  0.0000 [1 per cell]  3 H 2.70
Sb  0.3333  0.6667  0.5000 [1 per cell]  3 Rh 2.70
H  0.6667  0.3333  0.0000 [1 per cell]  2 Rh 1.86
Rh  0.6667  0.3333  0.5000 [1 per cell]  2 H 1.86


Record 15
An optimized crystal structure of Nd2ScH12Rh3, computed with GGA-PBE.

Values from the calculation:
Calculated density: 6.40 g/cm³
Calculated volume: 9.4 A^3/atom
Energy: -4.72 eV per atom
D(E_F): 5.78 states/eV/f.u.

a b c (Å): 6.4740 6.4740 14.0406
angles (deg): 90.00 90.00 120.00
Last column: nearest neighbours and their distance in Å.
Space group R-3m (No. 166, hexagonal axes)
Asymmetric unit:
Nd  0.0000  0.0000  0.1183 [6 per cell]  3 H 2.24
Sc  0.0000  0.0000  0.5000 [3 per cell]  6 H 2.03
H  0.0105  0.5053  0.8793 [18 per cell]  1 Rh 1.70
H  0.0454  0.5227  0.3260 [18 per cell]  2 Rh 1.76
Rh  0.0000  0.5000  0.0000 [9 per cell]  6 H 1.70-1.76


Record 16
An optimized crystal structure of Nd2Si2HRh2, computed with GGA-PBE.

Values from the calculation:
Calculated density: 7.52 g/cm³
Calculated volume: 17.4 A^3/atom
Energy: -6.34 eV per atom
D(E_F): 4.52 states/eV/f.u.

a b c (Å): 10.7953 4.1770 7.1216
angles (deg): 90.00 130.68 90.00
Last column: nearest neighbours and their distance in Å.
Space group C2/m (No. 12)
Asymmetric unit:
Nd  0.0627  0.0000  0.2940 [4 per cell]  2 H 2.71
Si  0.1501  0.5000  0.7031 [4 per cell]  3 Rh 2.41-2.49, 1 Si 2.58
H  0.0000  0.5000  0.0000 [2 per cell]  2 Rh 1.88
Rh  0.2110  0.5000  0.1055 [4 per cell]  1 H 1.88


Record 17
An optimized crystal structure of NdSiHRh2, computed with GGA-PBE.

Values from the calculation:
Calculated density: 8.42 g/cm³
Calculated volume: 15.0 A^3/atom
Energy: -6.48 eV per atom
D(E_F): 3.26 states/eV/f.u.

a b c (Å): 3.8172 10.9159 7.1801
angles (deg): 90.00 90.00 90.00
Last column: nearest neighbours and their distance in Å.
Space group Cmcm (No. 63)
Asymmetric unit:
Nd  0.0000  0.0574  0.2500 [4 per cell]  4 H 2.69
Si  0.0000  0.2219  0.7500 [4 per cell]  6 Rh 2.47-2.54
H  0.0000  0.5000  0.0000 [4 per cell]  2 Rh 1.79
Rh  0.0000  0.3403  0.0539 [8 per cell]  1 H 1.79


Record 18
An optimized crystal structure of NdSnHRh2, computed with GGA-PBE.

Values from the calculation:
Calculated density: 9.08 g/cm³
Calculated volume: 17.2 A^3/atom
Energy: -5.98 eV per atom
D(E_F): 2.27 states/eV/f.u.

a b c (Å): 3.7884 11.8453 7.6585
angles (deg): 90.00 90.00 90.00
Last column: nearest neighbours and their distance in Å.
Space group Cmcm (No. 63)
Asymmetric unit:
Nd  0.0000  0.0349  0.2500 [4 per cell]  4 H 2.72
Sn  0.0000  0.2394  0.7500 [4 per cell]  6 Rh 2.68-2.70
H  0.0000  0.5000  0.0000 [4 per cell]  2 Rh 1.74
Rh  0.0000  0.3569  0.0527 [8 per cell]  1 H 1.74


Record 19
An optimized crystal structure of Sr2NdH12Rh3, computed with GGA-PBE.

Values from the calculation:
Calculated density: 5.47 g/cm³
Calculated volume: 10.8 A^3/atom
Energy: -4.33 eV per atom
D(E_F): 2.83 states/eV/f.u.

a b c (Å): 6.8045 6.8045 14.5347
angles (deg): 90.00 90.00 120.00
Last column: nearest neighbours and their distance in Å.
Space group R-3m (No. 166, hexagonal axes)
Asymmetric unit:
Sr  0.0000  0.0000  0.1154 [6 per cell]  3 H 2.30
Nd  0.0000  0.0000  0.5000 [3 per cell]  6 H 2.31
H  0.0372  0.5186  0.8851 [18 per cell]  1 Rh 1.68
H  0.0772  0.5386  0.3204 [18 per cell]  2 Rh 1.79
Rh  0.0000  0.5000  0.0000 [9 per cell]  6 H 1.68-1.79


Record 20
An optimized crystal structure of SrNdH6Rh2, computed with GGA-PBE.

Values from the calculation:
Calculated density: 6.14 g/cm³
Calculated volume: 12.0 A^3/atom
Energy: -4.56 eV per atom
D(E_F): 1.73 states/eV/f.u.

a b c (Å): 7.9297 9.8055 6.6351
angles (deg): 90.00 111.39 90.00
Last column: nearest neighbours and their distance in Å.
Space group C2/c (No. 15)
Asymmetric unit:
Sr  0.0000  0.1590  0.2500 [4 per cell]  10 H 2.54-2.81
Nd  0.0000  0.4064  0.7500 [4 per cell]  8 H 2.34-2.49
H  0.0823  0.3867  0.1257 [8 per cell]  1 Rh 1.72
H  0.1758  0.2520  0.6262 [8 per cell]  1 Rh 1.69
H  0.1857  0.0243  0.0204 [8 per cell]  1 Rh 1.73
Rh  0.1902  0.1360  0.8205 [8 per cell]  3 H 1.69-1.73